Record 1
# Re3RhS

An optimized crystal structure of Re3RhS (GGA-PBEsol, Alexandria).

```
Re3RhS
1.0
4.617 0.000 0.000
0.000 4.617 0.000
0.000 0.000 4.617
Re Rh S
3 1 1
direct
0.000 0.000 0.500
0.000 0.500 0.000
0.500 0.000 0.000
0.000 0.000 0.000
0.500 0.500 0.500
```

Values from the calculation:
Its theoretical density is 11.71 Mg/m³. Its total DFT energy (no corrections) is -7.806 eV/atom.

Record 2
# TmAlPt

An optimized crystal structure of TmAlPt (GGA-PBEsol, Alexandria).

```
TmAlPt
1.0
6.729 0.000 0.000
0.000 4.332 0.000
0.000 0.000 7.661
Tm Al Pt
4 4 4
direct
0.029 0.250 0.181
0.471 0.750 0.681
0.529 0.250 0.319
0.971 0.750 0.819
0.145 0.250 0.563
0.355 0.750 0.063
0.645 0.250 0.937
0.855 0.750 0.437
0.232 0.750 0.382
0.268 0.250 0.882
0.732 0.750 0.118
0.768 0.250 0.618
```

Values from the calculation:
The energy of formation comes out at -1.177 eV per atom. Its theoretical density is 11.63 Mg/m³. Its total DFT energy (no corrections) is -6.495 eV/atom.

Record 3
# CdHgSbTe2

An optimized crystal structure of CdHgSbTe2 (GGA-PBEsol, Alexandria).

```
CdHgSbTe2
1.0
5.563 0.000 0.000
0.000 5.563 0.000
0.000 0.000 5.437
Cd Hg Sb Te
1 1 1 2
direct
0.000 0.000 0.000
0.500 0.500 0.500
0.500 0.500 0.000
0.000 0.500 0.500
0.500 0.000 0.500
```

Values from the calculation:
Its theoretical density is 6.81 Mg/m³. Its total DFT energy (no corrections) is -1.983 eV/atom.

Record 4
# HfNbP2O

An optimized crystal structure of HfNbP2O (GGA-PBEsol, Alexandria).

```
HfNbP2O
1.0
4.858 0.000 0.000
0.000 4.858 0.000
0.000 0.000 3.759
Hf Nb P O
1 1 2 1
direct
0.000 0.000 0.000
0.500 0.500 0.500
0.000 0.500 0.500
0.500 0.000 0.500
0.500 0.500 0.000
```

Values from the calculation:
Its theoretical density is 6.54 Mg/m³. Its total DFT energy (no corrections) is -8.229 eV/atom.

Record 5
# MnCu2Pt

An optimized crystal structure of MnCu2Pt (GGA-PBEsol, Alexandria).

```
MnCu2Pt
1.0
4.347 -1.347 0.000
4.347 1.347 0.000
-0.870 0.000 4.358
Mn Cu Pt
1 2 1
direct
0.000 0.000 0.000
0.251 0.251 0.757
0.749 0.749 0.243
0.500 0.500 0.500
```

Values from the calculation:
The energy of formation comes out at -0.050 eV per atom. Its theoretical density is 12.28 Mg/m³. Its total DFT energy (no corrections) is -6.398 eV/atom.

Record 6
# Ga2BiAs

An optimized crystal structure of Ga2BiAs (GGA-PBEsol, Alexandria).

```
Ga2BiAs
1.0
4.229 0.000 0.000
0.000 4.229 0.000
0.000 0.000 6.035
Ga Bi As
2 1 1
direct
0.000 0.500 0.225
0.500 0.000 0.775
0.500 0.500 0.500
0.000 0.000 0.000
```

Values from the calculation:
The energy of formation comes out at -0.074 eV per atom. Its theoretical density is 6.51 Mg/m³. Its total DFT energy (no corrections) is -4.092 eV/atom.

Record 7
# KPbO2

An optimized crystal structure of KPbO2 (GGA-PBEsol, Alexandria).

```
KPbO2
1.0
-3.002 3.002 4.732
3.002 -3.002 4.732
3.002 3.002 -4.732
K Pb O
2 2 4
direct
0.000 0.000 0.000
0.750 0.250 0.500
0.250 0.750 0.500
0.500 0.500 0.000
0.197 0.125 0.572
0.375 0.803 0.928
0.553 0.625 0.428
0.875 0.447 0.072
```

Values from the calculation:
Its theoretical density is 5.42 Mg/m³. Its total DFT energy (no corrections) is -5.038 eV/atom.

Record 8
# AsRh

An optimized crystal structure of AsRh (GGA-PBEsol, Alexandria).

```
AsRh
1.0
5.616 0.000 0.000
0.000 3.608 0.000
0.000 0.000 6.035
As Rh
4 4
direct
0.193 0.250 0.087
0.307 0.750 0.587
0.693 0.250 0.413
0.807 0.750 0.913
0.003 0.250 0.693
0.497 0.750 0.193
0.503 0.250 0.807
0.997 0.750 0.307
```

Values from the calculation:
The energy of formation comes out at -0.511 eV per atom. Its theoretical density is 9.66 Mg/m³. Its total DFT energy (no corrections) is -7.133 eV/atom.

Record 9
# LaTcSb3

An optimized crystal structure of LaTcSb3 (GGA-PBEsol, Alexandria).

```
LaTcSb3
1.0
5.840 0.000 0.000
0.000 5.840 0.000
0.000 0.000 5.840
La Tc Sb
1 1 3
direct
0.000 0.000 0.000
0.500 0.500 0.500
0.000 0.000 0.500
0.000 0.500 0.000
0.500 0.000 0.000
```

Values from the calculation:
Its theoretical density is 5.02 Mg/m³. Its total DFT energy (no corrections) is -4.472 eV/atom.

Record 10
# TaSn3Se

An optimized crystal structure of TaSn3Se (GGA-PBEsol, Alexandria).

```
TaSn3Se
1.0
5.320 0.000 0.000
0.000 5.320 0.000
0.000 0.000 5.320
Ta Sn Se
1 3 1
direct
0.000 0.000 0.000
0.000 0.000 0.500
0.000 0.500 0.000
0.500 0.000 0.000
0.500 0.500 0.500
```

Values from the calculation:
Its theoretical density is 6.79 Mg/m³. Its total DFT energy (no corrections) is -5.248 eV/atom.

Record 11
# Be4CoOs

An optimized crystal structure of Be4CoOs (GGA-PBEsol, Alexandria).

```
Be4CoOs
1.0
0.000 2.979 2.979
2.979 0.000 2.979
2.979 2.979 0.000
Be Co Os
4 1 1
direct
0.376 0.376 0.376
0.376 0.376 0.873
0.376 0.873 0.376
0.873 0.376 0.376
0.000 0.000 0.000
0.750 0.750 0.750
```

Values from the calculation:
The energy of formation comes out at -0.252 eV per atom. Its theoretical density is 8.96 Mg/m³. Its total DFT energy (no corrections) is -6.244 eV/atom.

Record 12
# HfFe3S

An optimized crystal structure of HfFe3S (GGA-PBEsol, Alexandria).

```
HfFe3S
1.0
4.522 0.000 0.000
0.000 4.522 0.000
0.000 0.000 4.522
Hf Fe S
1 3 1
direct
0.000 0.000 0.000
0.000 0.000 0.500
0.000 0.500 0.000
0.500 0.000 0.000
0.500 0.500 0.500
```

Values from the calculation:
Its theoretical density is 6.79 Mg/m³. Its total DFT energy (no corrections) is -6.615 eV/atom.